# Li4VCr3O8 (GGA+U, relaxed)
data_Li4VCr3O8
_chemical_formula_sum 'Li12 V3 Cr9 O24'
_space_group_name_H-M_alt 'R -3 m'
_space_group_IT_number 166
_space_group_name_Hall '-R 3 2"'
_cell_length_a 5.9611
_cell_length_b 5.9611
_cell_length_c 14.5708
_cell_angle_alpha 90.00
_cell_angle_beta 90.00
_cell_angle_gamma 120.00
loop_
_atom_site_label
_atom_site_fract_x
_atom_site_fract_y
_atom_site_fract_z
Li1 0.0000 0.0000 0.0000
Li2 0.0000 0.5000 0.0000
V1 0.0000 0.0000 0.5000
Cr1 0.0000 0.5000 0.5000
O1 0.0000 0.0000 0.2414
O2 0.0025 0.5012 0.7579
# crystal system	trigonal
# final energy	-6.902	eV/atom
# spin magnetization	0.69	μB per atom